Compound: Sc2BeAuC
Source: Alexandria via LeMat-Bulk
Functional: GGA-PBE
Structure: optimized geometry

## Properties
* total energy: -6.3102 eV per atom
* energy relative to the elements: -0.5321 eV per atom

Unit cell a=4.6377 b=4.6377 c=3.5008 alpha=90.00 beta=90.00 gamma=90.00
Sites, in units of the cell vectors:
Au  0.5000  0.5000  0.5000
Sc  0.5000  0.0000  0.0000
Sc  0.0000  0.5000  0.0000
Be  0.0000  0.0000  0.5000
C  0.0000  0.0000  0.0000


Compound: CaMg2ReN4
Source: Alexandria via LeMat-Bulk
Functional: GGA-PBE
Structure: optimized geometry

## Properties
* total energy: -7.0443 eV per atom
* E_form (uncorrected): -0.677 eV per atom

Unit cell a=5.4477 b=5.9012 c=7.1753 alpha=90.00 beta=90.00 gamma=90.00
Site moments in Bohr magnetons follow the coordinates.
Sites, in units of the cell vectors:
Re  0.5022  0.8161  0.5000  0.62
Re  0.0022  0.1839  0.0000  0.62
Mg  0.9933  0.6688  0.7528  0.02
Mg  0.4933  0.3312  0.2528  0.02
Mg  0.4933  0.3312  0.7472  0.02
Mg  0.9933  0.6688  0.2472  0.02
N  0.8770  0.3315  0.7891  0.02
N  0.3770  0.6685  0.2891  0.02
N  0.8438  0.7861  0.5000  0.02
N  0.3438  0.2139  0.0000  0.02
N  0.3770  0.6685  0.7109  0.02
N  0.8770  0.3315  0.2109  0.02
N  0.9348  0.8681  0.0000  0.02
N  0.4348  0.1319  0.5000  0.02
Ca  0.9786  0.1658  0.5000  0.03
Ca  0.4786  0.8342  0.0000  0.03


Compound: LaCuPCl2
Source: Alexandria via LeMat-Bulk
Functional: GGA-PBE
Structure: optimized geometry

## Properties
* E above lowest polymorph: 0 meV/atom
* total energy: -4.4666 eV per atom
* E_form (uncorrected): -0.841 eV per atom

Unit cell a=4.6249 b=4.6249 c=4.9658 alpha=90.00 beta=90.00 gamma=90.00
Sites, in units of the cell vectors:
Cu  0.0000  0.0000  0.0000
La  0.5000  0.5000  0.5000
P  0.0000  0.0000  0.5000
Cl  0.5000  0.0000  0.0000
Cl  0.0000  0.5000  0.0000


Compound: PmGd2Ir
Source: Alexandria via LeMat-Bulk
Functional: GGA-PBE
Structure: optimized geometry

## Properties
* E above lowest polymorph: 218 meV/atom
* total energy: -10.5978 eV per atom
* energy relative to the elements: -0.1544 eV per atom

Unit cell a=4.6651 b=4.6651 c=6.4829 alpha=68.91 beta=68.91 gamma=60.00
Site moments in Bohr magnetons follow the coordinates.
Sites, in units of the cell vectors:
Pm  0.0000  0.0000  0.0000  0.10
Gd  0.7773  0.7773  0.6680  7.06
Gd  0.2227  0.2227  0.3320  7.06
Ir  0.5000  0.5000  0.5000  -0.09


> total energy of number 1 (Sc2BeAuC)?

-6.3102 eV per atom


> Among the records above, which one has the highest total energy?

LaCuPCl2


> Which value of total energy does entry 3 give?

-4.4666 eV per atom